{
  "formula": "DyHoErN3",
  "functional": "PBE-GGA",
  "state": "optimized geometry",
  "cell": [[3.404, 0.000, 0.000], [0.000, 5.928, 0.359], [0.000, -2.217, 8.665]],
  "species": ["Dy", "Dy", "Ho", "Ho", "Er", "Er", "N", "N", "N", "N", "N", "N"],
  "fractional_positions": [[0.750, 0.662, 0.700], [0.250, 0.338, 0.300], [0.250, 0.768, 0.046], [0.750, 0.232, 0.954], [0.250, 0.156, 0.637], [0.750, 0.844, 0.363], [0.250, 0.751, 0.503], [0.750, 0.036, 0.157], [0.750, 0.535, 0.171], [0.750, 0.249, 0.497], [0.250, 0.465, 0.829], [0.250, 0.964, 0.843]],
  "volume_a3_per_atom": 14.8,
  "raw_formation_energy_ev_per_atom": -1.50,
  "density_g_cm3": 10.04
}